No. 1
BaPClO2 | PBE | optimized geometry

Values from the calculation:
SG: No. 123
Crystal system: tetragonal
Size of the total moment: 2.44 μB per formula unit

Unit cell a=4.4592 b=4.4592 c=8.5591 alpha=90.00 beta=90.00 gamma=90.00
Closest atoms and distances in Å follow each position.
Sites, in units of the cell vectors:
1 O 0.5000 0.0000 0.0000  2 Ba 2.23
2 Cl 0.5000 0.5000 0.5000  4 P 3.15
3 O 0.0000 0.5000 0.0000  2 Ba 2.23
4 P 0.0000 0.0000 0.5000  4 Cl 3.15
5 Ba 0.0000 0.0000 0.0000  4 O 2.23

---

No. 2
Ba8P3Cl4O | PBE | optimized geometry

Values from the calculation:
SG: No. 12
Crystal system: monoclinic
Size of the total moment: 0.00 μB per formula unit

Unit cell a=9.0320 b=9.2500 c=9.0386 alpha=119.28 beta=119.98 gamma=90.00
Closest atoms and distances in Å follow each position.
Sites, in units of the cell vectors:
1 P 0.0000 0.5000 0.5000  6 Ba 3.13-3.14
2 Ba 0.2570 0.2709 0.5140  3 P 3.14, 3 Cl 3.33
3 P 0.5000 0.5000 0.5000  6 Ba 3.13-3.14
4 Ba 0.7704 0.2867 0.0164  1 O 2.97, 2 P 3.13
5 Cl 0.5000 0.0000 0.0000  6 Ba 3.47-3.50
6 Ba 0.2460 0.2867 0.0164  1 O 2.97, 2 P 3.13
7 Cl 0.0000 0.0000 0.5000  6 Ba 3.33-3.36
8 P 0.5000 0.5000 0.0000  6 Ba 3.13-3.14
9 Ba 0.7540 0.7133 0.9836  1 O 2.97, 2 P 3.13
10 Cl 0.0000 0.0000 0.0000  6 Ba 3.33-3.36
11 Cl 0.5000 0.0000 0.5000  6 Ba 3.33-3.36
12 Ba 0.2326 0.7161 0.4653  1 O 3.01, 2 P 3.13, 2 Cl 3.36
13 Ba 0.2296 0.7133 0.9836  1 O 2.97, 2 P 3.13
14 O 0.0000 0.5000 0.0000  6 Ba 2.97-3.01
15 Ba 0.7430 0.7291 0.4860  3 P 3.14, 3 Cl 3.33
16 Ba 0.7674 0.2839 0.5347  1 O 3.01, 2 P 3.13, 2 Cl 3.36

---

No. 3
BaPClO2 | PBE | optimized geometry

Values from the calculation:
SG: No. 123
Crystal system: tetragonal
Size of the total moment: 0.00 μB per formula unit

Unit cell a=4.5462 b=4.5462 c=4.3507 alpha=90.00 beta=90.00 gamma=90.00
Closest atoms and distances in Å follow each position.
Sites, in units of the cell vectors:
1 O 0.0000 0.5000 0.0000  2 Cl 2.27
2 P 0.0000 0.0000 0.5000  2 Cl 2.18
3 Ba 0.5000 0.5000 0.5000  8 O 3.15, 4 P 3.21
4 Cl 0.0000 0.0000 0.0000  2 P 2.18, 4 O 2.27
5 O 0.5000 0.0000 0.0000  2 Cl 2.27

---

No. 4
Ba3P3ClO10 | PBE | optimized geometry

Values from the calculation:
SG: No. 29
Crystal system: orthorhombic
Size of the total moment: 0.00 μB per formula unit

Unit cell a=5.6756 b=14.4063 c=14.5014 alpha=90.00 beta=90.00 gamma=90.00
Closest atoms and distances in Å follow each position.
Sites, in units of the cell vectors:
1 O 0.2451 0.0400 0.4498  1 P 1.51
2 Cl 0.0047 0.3036 0.8749  4 Ba 3.07-3.34
3 O 0.2951 0.5985 0.2805  1 P 1.54
4 O 0.4756 0.4373 0.2950  1 P 1.52
5 Ba 0.9913 0.1715 0.5573  7 O 2.73-3.05
6 O 0.2720 0.3060 0.6471  1 P 1.54
7 O 0.2451 0.5400 0.0502  1 P 1.51
8 Cl 0.9953 0.3036 0.3749  4 Ba 3.07-3.34
9 Ba 0.4983 0.7438 0.1846  6 O 2.76-3.09, 1 Cl 3.07
10 Ba 0.0087 0.6715 0.4427  7 O 2.73-3.05
11 O 0.4756 0.9373 0.2050  1 P 1.52
12 O 0.2631 0.0800 0.6827  1 P 1.53
13 O 0.3205 0.0603 0.9000  1 P 1.51
14 P 0.5129 0.8114 0.4173  4 O 1.53-1.63
15 Ba 0.5017 0.7438 0.6846  6 O 2.76-3.09, 1 Cl 3.07
16 Ba 0.4983 0.2438 0.3154  6 O 2.76-3.09, 1 Cl 3.07
17 O 0.5403 0.9084 0.4747  2 P 1.59-1.63
18 P 0.5105 0.5385 0.8243  4 O 1.52-1.66
19 O 0.5189 0.7375 0.4927  1 P 1.53
20 O 0.7369 0.5800 0.3173  1 P 1.53
21 Ba 0.9988 0.4578 0.7033  7 O 2.78-3.02
22 P 0.4977 0.5176 0.5344  4 O 1.51-1.60
23 Cl 0.9953 0.8036 0.1251  4 Ba 3.07-3.34
24 O 0.4075 0.5473 0.4339  2 P 1.60-1.66
25 P 0.4977 0.0176 0.9656  4 O 1.51-1.60
26 P 0.4895 0.0385 0.1757  4 O 1.52-1.66
27 O 0.2631 0.5800 0.8173  1 P 1.53
28 O 0.5244 0.9373 0.7050  1 P 1.52
29 O 0.7549 0.5400 0.5502  1 P 1.51
30 P 0.4895 0.5385 0.3243  4 O 1.52-1.66
31 O 0.7204 0.3138 0.6359  1 P 1.53
32 P 0.4871 0.8114 0.9173  4 O 1.53-1.63
33 P 0.5023 0.0176 0.4656  4 O 1.51-1.60
34 Ba 0.9988 0.9578 0.7967  7 O 2.78-3.02
35 O 0.6795 0.0603 0.4000  1 P 1.51
36 Ba 0.0087 0.1715 0.0573  7 O 2.73-3.05
37 O 0.7204 0.8138 0.8641  1 P 1.53
38 O 0.5244 0.4373 0.7950  1 P 1.52
39 O 0.4811 0.2375 0.5073  1 P 1.53
40 O 0.5925 0.5473 0.9339  2 P 1.60-1.66
41 O 0.4597 0.9084 0.9747  2 P 1.59-1.63
42 O 0.5925 0.0473 0.5661  2 P 1.60-1.66
43 O 0.7549 0.0400 0.9498  1 P 1.51
44 P 0.5129 0.3114 0.0827  4 O 1.53-1.63
45 O 0.2796 0.8138 0.3641  1 P 1.53
46 O 0.7280 0.3060 0.1471  1 P 1.54
47 P 0.4871 0.3114 0.5827  4 O 1.53-1.63
48 O 0.6795 0.5603 0.1000  1 P 1.51
49 O 0.7049 0.0985 0.7195  1 P 1.54
50 O 0.2796 0.3138 0.1359  1 P 1.53
51 O 0.4075 0.0473 0.0661  2 P 1.60-1.66
52 P 0.5023 0.5176 0.0344  4 O 1.51-1.60
53 O 0.2720 0.8060 0.8529  1 P 1.54
54 O 0.2951 0.0985 0.2195  1 P 1.54
55 O 0.5189 0.2375 0.0073  1 P 1.53
56 O 0.3205 0.5603 0.6000  1 P 1.51
57 Ba 0.0012 0.4578 0.2033  7 O 2.78-3.02
58 O 0.5403 0.4084 0.0253  2 P 1.59-1.63
59 O 0.4597 0.4084 0.5253  2 P 1.59-1.63
60 P 0.5105 0.0385 0.6757  4 O 1.52-1.66
61 O 0.7369 0.0800 0.1827  1 P 1.53
62 Ba 0.9913 0.6715 0.9427  7 O 2.73-3.05
63 Ba 0.5017 0.2438 0.8154  6 O 2.76-3.09, 1 Cl 3.07
64 Ba 0.0012 0.9578 0.2967  7 O 2.78-3.02
65 O 0.4811 0.7375 0.9927  1 P 1.53
66 Cl 0.0047 0.8036 0.6251  4 Ba 3.07-3.34
67 O 0.7049 0.5985 0.7805  1 P 1.54
68 O 0.7280 0.8060 0.3529  1 P 1.54

---

No. 5
Ba6P2Cl3O | PBE | optimized geometry

Values from the calculation:
SG: No. 12
Crystal system: monoclinic
Size of the total moment: 0.00 μB per formula unit

Unit cell a=7.7100 b=7.7100 c=8.0588 alpha=99.23 beta=99.23 gamma=120.02
Closest atoms and distances in Å follow each position.
Sites, in units of the cell vectors:
1 P 0.3338 0.6662 0.0000  6 Ba 3.12-3.13
2 O 0.0000 0.0000 0.0000  6 Ba 2.90-2.91
3 Ba 0.9279 0.6165 0.7842  1 O 2.91, 2 P 3.13
4 Cl 0.1727 0.8273 0.5000  6 Ba 3.31-3.44
5 Ba 0.2381 0.2381 0.7851  1 O 2.90, 2 P 3.12
6 Cl 0.8273 0.1727 0.5000  6 Ba 3.31-3.44
7 Ba 0.7619 0.7619 0.2149  1 O 2.90, 2 P 3.12
8 Cl 0.5000 0.5000 0.5000  6 Ba 3.30-3.51
9 P 0.6662 0.3338 0.0000  6 Ba 3.12-3.13
10 Ba 0.6165 0.9279 0.7842  1 O 2.91, 2 P 3.13
11 Ba 0.0721 0.3835 0.2158  1 O 2.91, 2 P 3.13
12 Ba 0.3835 0.0721 0.2158  1 O 2.91, 2 P 3.13

---

No. 6
Ba6PCl3O2 | PBE | optimized geometry

Values from the calculation:
SG: No. 12
Crystal system: monoclinic
Size of the total moment: 0.00 μB per formula unit

Unit cell a=7.3356 b=7.3356 c=8.0035 alpha=98.89 beta=98.89 gamma=120.02
Closest atoms and distances in Å follow each position.
Sites, in units of the cell vectors:
1 Ba 0.0694 0.4284 0.2075  2 O 2.83-2.84, 1 P 3.07
2 Ba 0.7100 0.7100 0.2058  2 O 2.84, 1 P 3.07
3 Cl 0.1580 0.8420 0.5000  6 Ba 3.24-3.40
4 Cl 0.8420 0.1580 0.5000  6 Ba 3.24-3.40
5 O 0.3323 0.6677 0.0000  6 Ba 2.83-2.84
6 Ba 0.4284 0.0694 0.2075  2 O 2.83-2.84, 1 P 3.07
7 Ba 0.2900 0.2900 0.7942  2 O 2.84, 1 P 3.07
8 P 0.0000 0.0000 0.0000  6 Ba 3.07
9 Cl 0.5000 0.5000 0.5000  6 Ba 3.19-3.38
10 Ba 0.9306 0.5716 0.7925  2 O 2.83-2.84, 1 P 3.07
11 O 0.6677 0.3323 0.0000  6 Ba 2.83-2.84
12 Ba 0.5716 0.9306 0.7925  2 O 2.83-2.84, 1 P 3.07

---

No. 7
Ba2PaCl3O3 | PBE | optimized geometry

Values from the calculation:
SG: No. 189
Crystal system: hexagonal
Size of the total moment: 0.00 μB per formula unit

Unit cell a=3.5376 b=7.9080 c=7.9080 alpha=120.00 beta=90.00 gamma=90.00
Closest atoms and distances in Å follow each position.
Sites, in units of the cell vectors:
1 O 0.5000 0.8092 0.0000  2 Pa 2.33
2 Ba 0.5000 0.3333 0.6667  6 Cl 2.99
3 Cl 0.0000 0.4041 0.0000  4 Ba 2.99, 1 Pa 3.20, 4 O 3.29
4 Pa 0.0000 0.0000 0.0000  6 O 2.33
5 Cl 0.0000 0.0000 0.4041  4 Ba 2.99, 1 Pa 3.20, 4 O 3.29
6 O 0.5000 0.1908 0.1908  2 Pa 2.33
7 Cl 0.0000 0.5959 0.5959  4 Ba 2.99, 1 Pa 3.20, 4 O 3.29
8 O 0.5000 0.0000 0.8092  2 Pa 2.33
9 Ba 0.5000 0.6667 0.3333  6 Cl 2.99

---

No. 8
BaPbClO2 | PBE | optimized geometry

Values from the calculation:
SG: No. 11
Crystal system: monoclinic
Size of the total moment: 0.00 μB per formula unit
Distance to the lowest polymorph of the same formula: 0 meV/atom

Unit cell a=4.4725 b=7.2203 c=8.4210 alpha=87.31 beta=90.00 gamma=90.00
Closest atoms and distances in Å follow each position.
Sites, in units of the cell vectors:
1 O 0.2500 0.0091 0.6416  1 Pb 2.14
2 Ba 0.7500 0.2017 0.6081  4 O 2.64-2.92
3 O 0.7500 0.9700 0.9023  3 Pb 2.25-2.36
4 Ba 0.2500 0.7983 0.3919  4 O 2.64-2.92
5 Pb 0.2500 0.8731 0.8724  4 O 2.14-2.36
6 O 0.7500 0.9909 0.3584  1 Pb 2.14
7 Cl 0.2500 0.5081 0.7060  1 Pb 3.04, 3 Ba 3.28-3.30
8 Pb 0.7500 0.1269 0.1276  4 O 2.14-2.36
9 Cl 0.7500 0.4919 0.2940  1 Pb 3.04, 3 Ba 3.28-3.30
10 O 0.2500 0.0300 0.0977  3 Pb 2.25-2.36

---

No. 9
BaPb2Cl2O2 | PBE | optimized geometry

Values from the calculation:
SG: No. 12
Crystal system: monoclinic
Size of the total moment: 0.00 μB per formula unit

Unit cell a=4.0246 b=7.2403 c=8.6402 alpha=55.81 beta=90.01 gamma=73.87
Closest atoms and distances in Å follow each position.
Sites, in units of the cell vectors:
1 Cl 0.4484 0.1035 0.2112  2 Ba 3.07
2 O 0.7904 0.4192 0.6583  3 Pb 2.28-2.42
3 Pb 0.1724 0.6553 0.5659  3 O 2.28-2.42
4 Cl 0.5516 0.8965 0.7888  2 Ba 3.07
5 O 0.2096 0.5808 0.3417  3 Pb 2.28-2.42
6 Pb 0.8276 0.3447 0.4341  3 O 2.28-2.42
7 Ba 0.0000 0.0000 0.0000  2 O 2.67

---

no.,uncorrected formation energy (eV/f.u.)
1,0.87
2,-28.13
3,-0.44
4,-45.77
5,-21.68
6,-23.52
7,-22.97
8,-8.59
9,-11.57